LiScBr | PBE-GGA | optimized geometry

Crystal system: orthorhombic
Density of states at the Fermi level: 1.98 states/eV/f.u.
Excess energy over the best structure of this formula in the dataset: 84.6 meV per atom
E_form (uncorrected): -1.6 eV/f.u.

POSCAR file:
```
LiScBr
1.0
3.573 0.000 0.000
0.000 5.938 0.000
0.000 0.000 13.319
Li Sc Br
4 4 4
Direct
0.000 0.000 0.000
0.000 0.500 0.500
0.500 0.000 0.500
0.500 0.500 0.000
0.000 0.000 0.691
0.000 0.500 0.191
0.500 0.000 0.191
0.500 0.500 0.691
0.000 0.000 0.351
0.000 0.500 0.851
0.500 0.000 0.851
0.500 0.500 0.351
```